The following is a DFT calculation (PBE with a Hubbard U) of a relaxed Pm2MgMoO6 crystal.

a b c (Å): 5.5386 5.7833 7.9109
angles (deg): 90.00 89.12 90.00
With the nearest neighbours (Å) after each atom.
Positions (direct):
O  0.1925  0.2068  0.0584  1 Mo 2.06, 1 Mg 2.13
O  0.8895  0.5378  0.2468  1 Mo 2.05, 1 Mg 2.11
O  0.8065  0.7979  0.5586  1 Mg 2.08, 1 Mo 2.12
O  0.6935  0.2979  0.9414  1 Mg 2.08, 1 Mo 2.12
O  0.3075  0.7068  0.4416  1 Mo 2.06, 1 Mg 2.13
O  0.8075  0.7932  0.9416  1 Mo 2.06, 1 Mg 2.13
O  0.6925  0.2932  0.5584  1 Mo 2.06, 1 Mg 2.13
O  0.6105  0.0378  0.2532  1 Mo 2.05, 1 Mg 2.11
O  0.1105  0.4622  0.7532  1 Mo 2.05, 1 Mg 2.11
O  0.1935  0.2021  0.4414  1 Mg 2.08, 1 Mo 2.12
O  0.3065  0.7021  0.0586  1 Mg 2.08, 1 Mo 2.12
O  0.3895  0.9622  0.7468  1 Mo 2.05, 1 Mg 2.11
Pm  0.4791  0.4389  0.2470  6 O 2.34-2.58
Pm  0.5209  0.5611  0.7530  6 O 2.34-2.58
Pm  0.9791  0.0611  0.7470  6 O 2.34-2.58
Pm  0.0209  0.9389  0.2530  6 O 2.34-2.58
Mg  0.5000  0.0000  0.0000  6 O 2.08-2.13
Mg  0.0000  0.5000  0.5000  6 O 2.08-2.13
Mo  0.0000  0.5000  0.0000  6 O 2.05-2.12
Mo  0.5000  0.0000  0.5000  6 O 2.05-2.12

Properties
Electronic total energy = -7.60 eV/atom
Space-group type = P2_1/c (14)